(1)
## Ni2HgF (GGA+U)

Data for crystalline Ni2HgF at its relaxed geometry.

Cell and atoms, written as extended XYZ:
```
8
Lattice="-3.184 2.826 1.911 -0.484 -2.961 3.574 2.871 3.054 5.966" Properties=species:S:1:pos:R:3 pbc="T T T"
F -1.834 -0.067 2.742
Ni -0.983 2.616 8.738
F 0.277 0.013 6.141
Ni -0.459 -0.311 4.250
Hg -1.073 2.907 5.309
Ni -0.856 1.737 2.846
Hg 0.000 0.000 0.000
Ni 0.706 1.797 7.066
```

## Properties
Symmetry: I-42d
Magnetic moment: 0.44 μB per atom
Crystal system: tetragonal

=====

(2)
## Ni2HgF (GGA+U)

Data for crystalline Ni2HgF at its relaxed geometry.

Cell and atoms, written as extended XYZ:
```
4
Lattice="0.425 -3.234 2.796 -2.064 0.130 3.766 -3.299 -2.653 0.734" Properties=species:S:1:pos:R:3 pbc="T T T"
Ni -3.703 -4.317 5.472
F 0.000 0.000 0.000
Ni -1.234 -1.439 1.824
Hg -2.469 -2.878 3.648
```

## Properties
Symmetry: Fm-3m
Magnetic moment: 0.39 μB per atom
Crystal system: cubic

=====

Relative energy table, unit meV per atom: (1) 0; (2) 687

=====

(1)
## Ni3HgF (GGA+U)

Data for crystalline Ni3HgF at its relaxed geometry.

Cell and atoms, written as extended XYZ:
```
5
Lattice="4.150 0.000 0.000 0.000 4.150 0.000 0.000 0.000 4.150" Properties=species:S:1:pos:R:3 pbc="T T T"
Ni 0.000 0.000 2.075
Hg 2.075 2.075 2.075
Ni 0.000 2.075 0.000
Ni 2.075 0.000 0.000
F 0.000 0.000 0.000
```

## Properties
Symmetry: Pm-3m
Magnetic moment: 0.59 μB per atom
Crystal system: cubic

=====

(2)
## Ni3HgF (GGA+U)

Data for crystalline Ni3HgF at its relaxed geometry.

Cell and atoms, written as extended XYZ:
```
5
Lattice="-4.758 -0.893 1.099 -0.455 -2.684 -4.151 1.340 -4.080 2.491" Properties=species:S:1:pos:R:3 pbc="T T T"
F -1.936 -3.828 -0.281
Ni 0.670 -2.040 1.245
Hg 0.000 0.000 0.000
Ni -0.228 -1.342 -2.076
Ni -2.379 -0.446 0.549
```

## Properties
Symmetry: Pm-3m
Magnetic moment: 0.62 μB per atom
Crystal system: cubic

=====

Relative energy table, unit meV per atom: (1) 0; (2) 1033

=====

(1)
## NiHg3F (GGA+U)

Data for crystalline NiHg3F at its relaxed geometry.

Cell and atoms, written as extended XYZ:
```
5
Lattice="-1.675 -2.726 -3.814 4.674 -1.279 -1.139 -0.356 -3.964 2.990" Properties=species:S:1:pos:R:3 pbc="T T T"
Hg -0.178 -1.982 1.495
Hg -0.838 -1.363 -1.907
Ni 0.000 0.000 0.000
F 1.322 -3.985 -0.981
Hg 2.337 -0.639 -0.570
```

## Properties
Symmetry: Pm-3m
Magnetic moment: 0.08 μB per atom
Crystal system: cubic

=====

(2)
## NiHg3F (GGA+U)

Data for crystalline NiHg3F at its relaxed geometry.

Cell and atoms, written as extended XYZ:
```
5
Lattice="4.887 0.000 0.000 0.000 4.887 0.000 0.000 0.000 4.887" Properties=species:S:1:pos:R:3 pbc="T T T"
Hg 0.000 0.000 2.444
Ni 2.444 2.444 2.444
Hg 0.000 2.444 0.000
Hg 2.444 0.000 0.000
F 0.000 0.000 0.000
```

## Properties
Symmetry: Pm-3m
Magnetic moment: 0.23 μB per atom
Crystal system: cubic

=====

Relative energy table, unit meV per atom: (1) 0; (2) 528